Record 1
Computed, not measured: crystalline Sr3Cu at its relaxed geometry at the PBE level of DFT.

Geometry as CIF:
```
data_Sr3Cu
_space_group_name_H-M_alt 'P 1'
_space_group_IT_number 1
_cell_length_a 11.066
_cell_length_b 11.066
_cell_length_c 11.066
_cell_angle_alpha 22.79
_cell_angle_beta 22.79
_cell_angle_gamma 22.79
loop_
_space_group_symop_operation_xyz
'x,y,z'
loop_
_atom_site_label
_atom_site_type_symbol
_atom_site_fract_x
_atom_site_fract_y
_atom_site_fract_z
Sr1 Sr 0.000 0.000 0.000
Sr2 Sr 0.221 0.221 0.221
Sr3 Sr 0.779 0.779 0.779
Cu1 Cu 0.500 0.500 0.500
```

Calculated values
E	-9.0	eV per formula unit
magnetic moment	0.00	μB per cell
SG	R-3m
formation enthalpy at 0 K	0.0301	eV per atom

***

Record 2
Computed, not measured: crystalline SrCu at its relaxed geometry at the PBE level of DFT.

Geometry as CIF:
```
data_SrCu
_space_group_name_H-M_alt 'P 1'
_space_group_IT_number 1
_cell_length_a 6.062
_cell_length_b 6.062
_cell_length_c 7.868
_cell_angle_alpha 110.82
_cell_angle_beta 110.82
_cell_angle_gamma 42.21
loop_
_space_group_symop_operation_xyz
'x,y,z'
loop_
_atom_site_label
_atom_site_type_symbol
_atom_site_fract_x
_atom_site_fract_y
_atom_site_fract_z
Sr1 Sr 0.000 0.000 0.000
Sr2 Sr 0.634 0.634 0.691
Sr3 Sr 0.823 0.823 0.346
Cu1 Cu 0.143 0.143 0.420
Cu2 Cu 0.289 0.289 0.987
Cu3 Cu 0.339 0.339 0.698
```

Calculated values
E	-5.8	eV per formula unit
magnetic moment	0.00	μB per cell
SG	Cm
formation enthalpy at 0 K	-0.0042	eV per atom

***

Record 3
Computed, not measured: crystalline SrCu6 at its relaxed geometry at the PBE level of DFT.

Geometry as CIF:
```
data_SrCu6
_space_group_name_H-M_alt 'P 1'
_space_group_IT_number 1
_cell_length_a 8.201
_cell_length_b 5.155
_cell_length_c 10.301
_cell_angle_alpha 90.00
_cell_angle_beta 90.00
_cell_angle_gamma 90.00
loop_
_space_group_symop_operation_xyz
'x,y,z'
loop_
_atom_site_label
_atom_site_type_symbol
_atom_site_fract_x
_atom_site_fract_y
_atom_site_fract_z
Sr1 Sr 0.237 0.250 0.062
Sr2 Sr 0.263 0.750 0.562
Sr3 Sr 0.737 0.250 0.438
Sr4 Sr 0.763 0.750 0.938
Cu1 Cu 0.065 0.004 0.310
Cu2 Cu 0.065 0.496 0.310
Cu3 Cu 0.067 0.750 0.102
Cu4 Cu 0.100 0.250 0.517
Cu5 Cu 0.152 0.750 0.859
Cu6 Cu 0.181 0.250 0.753
Cu7 Cu 0.319 0.750 0.253
Cu8 Cu 0.348 0.250 0.359
Cu9 Cu 0.400 0.750 0.017
Cu10 Cu 0.433 0.250 0.602
Cu11 Cu 0.435 0.504 0.810
Cu12 Cu 0.435 0.996 0.810
Cu13 Cu 0.565 0.004 0.190
Cu14 Cu 0.565 0.496 0.190
Cu15 Cu 0.567 0.750 0.398
Cu16 Cu 0.600 0.250 0.983
Cu17 Cu 0.652 0.750 0.641
Cu18 Cu 0.681 0.250 0.747
Cu19 Cu 0.819 0.750 0.247
Cu20 Cu 0.848 0.250 0.141
Cu21 Cu 0.900 0.750 0.483
Cu22 Cu 0.933 0.250 0.898
Cu23 Cu 0.935 0.504 0.690
Cu24 Cu 0.935 0.996 0.690
```

Calculated values
E	-26.3	eV per formula unit
magnetic moment	0.00	μB per cell
SG	Pnma
relative energy among the computed polymorphs	0.00	eV per formula unit
formation enthalpy at 0 K	-0.0022	eV per atom

***

Record 4
Computed, not measured: crystalline Sr3Cu at its relaxed geometry at the PBE level of DFT.

Geometry as CIF:
```
data_Sr3Cu
_space_group_name_H-M_alt 'P 1'
_space_group_IT_number 1
_cell_length_a 3.940
_cell_length_b 3.940
_cell_length_c 10.232
_cell_angle_alpha 90.00
_cell_angle_beta 90.00
_cell_angle_gamma 90.00
loop_
_space_group_symop_operation_xyz
'x,y,z'
loop_
_atom_site_label
_atom_site_type_symbol
_atom_site_fract_x
_atom_site_fract_y
_atom_site_fract_z
Sr1 Sr 0.000 0.000 0.000
Sr2 Sr 0.500 0.500 0.322
Sr3 Sr 0.500 0.500 0.678
Cu1 Cu 0.000 0.000 0.500
```

Calculated values
E	-9.0	eV per formula unit
magnetic moment	0.00	μB per cell
SG	P4/mmm
formation enthalpy at 0 K	0.0248	eV per atom

***

Record 5
Computed, not measured: crystalline Sr3Cu at its relaxed geometry at the PBE level of DFT.

Geometry as CIF:
```
data_Sr3Cu
_space_group_name_H-M_alt 'P 1'
_space_group_IT_number 1
_cell_length_a 5.406
_cell_length_b 5.406
_cell_length_c 5.406
_cell_angle_alpha 90.00
_cell_angle_beta 90.00
_cell_angle_gamma 90.00
loop_
_space_group_symop_operation_xyz
'x,y,z'
loop_
_atom_site_label
_atom_site_type_symbol
_atom_site_fract_x
_atom_site_fract_y
_atom_site_fract_z
Sr1 Sr 0.000 0.000 0.500
Sr2 Sr 0.000 0.500 0.000
Sr3 Sr 0.500 0.000 0.000
Cu1 Cu 0.500 0.500 0.500
```

Calculated values
E	-8.2	eV per formula unit
magnetic moment	0.00	μB per cell
SG	Pm-3m
formation enthalpy at 0 K	0.2431	eV per atom

***

Record 6
Computed, not measured: crystalline SrCu5 at its relaxed geometry at the PBE level of DFT.

Geometry as CIF:
```
data_SrCu5
_space_group_name_H-M_alt 'P 1'
_space_group_IT_number 1
_cell_length_a 3.601
_cell_length_b 7.986
_cell_length_c 7.986
_cell_angle_alpha 26.65
_cell_angle_beta 90.00
_cell_angle_gamma 90.00
loop_
_space_group_symop_operation_xyz
'x,y,z'
loop_
_atom_site_label
_atom_site_type_symbol
_atom_site_fract_x
_atom_site_fract_y
_atom_site_fract_z
Sr1 Sr 0.000 0.000 0.000
Cu1 Cu 0.000 0.288 0.288
Cu2 Cu 0.000 0.674 0.674
Cu3 Cu 0.500 0.173 0.173
Cu4 Cu 0.500 0.394 0.394
Cu5 Cu 0.500 0.789 0.789
```

Calculated values
E	-21.5	eV per formula unit
magnetic moment	0.00	μB per cell
SG	Amm2
formation enthalpy at 0 K	0.1164	eV per atom

***

Record 7
Computed, not measured: crystalline SrCu at its relaxed geometry at the PBE level of DFT.

Geometry as CIF:
```
data_SrCu
_space_group_name_H-M_alt 'P 1'
_space_group_IT_number 1
_cell_length_a 4.454
_cell_length_b 4.454
_cell_length_c 4.454
_cell_angle_alpha 60.00
_cell_angle_beta 60.00
_cell_angle_gamma 60.00
loop_
_space_group_symop_operation_xyz
'x,y,z'
loop_
_atom_site_label
_atom_site_type_symbol
_atom_site_fract_x
_atom_site_fract_y
_atom_site_fract_z
Sr1 Sr 0.000 0.000 0.000
Cu1 Cu 0.500 0.500 0.500
```

Calculated values
E	-5.5	eV per formula unit
magnetic moment	0.00	μB per cell
SG	Fm-3m
formation enthalpy at 0 K	0.1187	eV per atom

***

Record 8
Computed, not measured: crystalline Sr3Cu at its relaxed geometry at the PBE level of DFT.

Geometry as CIF:
```
data_Sr3Cu
_space_group_name_H-M_alt 'P 1'
_space_group_IT_number 1
_cell_length_a 7.094
_cell_length_b 7.094
_cell_length_c 7.094
_cell_angle_alpha 116.65
_cell_angle_beta 116.65
_cell_angle_gamma 116.65
loop_
_space_group_symop_operation_xyz
'x,y,z'
loop_
_atom_site_label
_atom_site_type_symbol
_atom_site_fract_x
_atom_site_fract_y
_atom_site_fract_z
Sr1 Sr 0.000 0.500 0.500
Sr2 Sr 0.500 0.000 0.500
Sr3 Sr 0.500 0.500 0.000
Cu1 Cu 0.000 0.000 0.000
```

Calculated values
E	-7.8	eV per formula unit
magnetic moment	0.00	μB per cell
SG	R-3m
formation enthalpy at 0 K	0.3267	eV per atom

***

Record 9
Computed, not measured: crystalline SrCu2 at its relaxed geometry at the PBE level of DFT.

Geometry as CIF:
```
data_SrCu2
_space_group_name_H-M_alt 'P 1'
_space_group_IT_number 1
_cell_length_a 5.106
_cell_length_b 5.106
_cell_length_c 5.930
_cell_angle_alpha 90.00
_cell_angle_beta 90.00
_cell_angle_gamma 120.00
loop_
_space_group_symop_operation_xyz
'x,y,z'
loop_
_atom_site_label
_atom_site_type_symbol
_atom_site_fract_x
_atom_site_fract_y
_atom_site_fract_z
Sr1 Sr 0.333 0.667 0.250
Sr2 Sr 0.667 0.333 0.750
Cu1 Cu 0.000 0.000 0.000
Cu2 Cu 0.000 0.000 0.500
Cu3 Cu 0.333 0.667 0.750
Cu4 Cu 0.667 0.333 0.250
```

Calculated values
E	-9.2	eV per formula unit
magnetic moment	0.00	μB per cell
SG	P6_3/mmc
formation enthalpy at 0 K	0.2302	eV per atom

***

Record 10
Computed, not measured: crystalline Sr3Cu at its relaxed geometry at the PBE level of DFT.

Geometry as CIF:
```
data_Sr3Cu
_space_group_name_H-M_alt 'P 1'
_space_group_IT_number 1
_cell_length_a 4.080
_cell_length_b 4.080
_cell_length_c 10.600
_cell_angle_alpha 90.00
_cell_angle_beta 90.00
_cell_angle_gamma 90.00
loop_
_space_group_symop_operation_xyz
'x,y,z'
loop_
_atom_site_label
_atom_site_type_symbol
_atom_site_fract_x
_atom_site_fract_y
_atom_site_fract_z
Sr1 Sr 0.000 0.000 0.000
Sr2 Sr 0.000 0.500 0.343
Sr3 Sr 0.500 0.500 0.695
Cu1 Cu 0.500 0.000 0.221
```

Calculated values
E	-8.7	eV per formula unit
magnetic moment	0.00	μB per cell
SG	Pmm2
formation enthalpy at 0 K	0.1174	eV per atom

***

Record 11
Computed, not measured: crystalline SrCu at its relaxed geometry at the PBE level of DFT.

Geometry as CIF:
```
data_SrCu
_space_group_name_H-M_alt 'P 1'
_space_group_IT_number 1
_cell_length_a 11.303
_cell_length_b 11.303
_cell_length_c 4.145
_cell_angle_alpha 90.00
_cell_angle_beta 90.00
_cell_angle_gamma 90.00
loop_
_space_group_symop_operation_xyz
'x,y,z'
loop_
_atom_site_label
_atom_site_type_symbol
_atom_site_fract_x
_atom_site_fract_y
_atom_site_fract_z
Sr1 Sr 0.098 0.228 0.000
Sr2 Sr 0.228 0.902 0.000
Sr3 Sr 0.272 0.602 0.500
Sr4 Sr 0.398 0.272 0.500
Sr5 Sr 0.602 0.728 0.500
Sr6 Sr 0.728 0.398 0.500
Sr7 Sr 0.772 0.098 0.000
Sr8 Sr 0.902 0.772 0.000
Cu1 Cu 0.070 0.422 0.500
Cu2 Cu 0.079 0.569 0.000
Cu3 Cu 0.422 0.930 0.500
Cu4 Cu 0.431 0.079 0.000
Cu5 Cu 0.569 0.921 0.000
Cu6 Cu 0.578 0.070 0.500
Cu7 Cu 0.921 0.431 0.000
Cu8 Cu 0.930 0.578 0.500
```

Calculated values
E	-5.5	eV per formula unit
magnetic moment	0.00	μB per cell
SG	P4/m
formation enthalpy at 0 K	0.1482	eV per atom

***

Record 12
Computed, not measured: crystalline SrCu2 at its relaxed geometry at the PBE level of DFT.

Geometry as CIF:
```
data_SrCu2
_space_group_name_H-M_alt 'P 1'
_space_group_IT_number 1
_cell_length_a 5.745
_cell_length_b 5.745
_cell_length_c 5.745
_cell_angle_alpha 144.88
_cell_angle_beta 144.88
_cell_angle_gamma 50.51
loop_
_space_group_symop_operation_xyz
'x,y,z'
loop_
_atom_site_label
_atom_site_type_symbol
_atom_site_fract_x
_atom_site_fract_y
_atom_site_fract_z
Sr1 Sr 0.000 0.000 0.000
Cu1 Cu 0.290 0.290 0.000
Cu2 Cu 0.710 0.710 0.000
```

Calculated values
E	-9.6	eV per formula unit
magnetic moment	0.00	μB per cell
SG	I4/mmm
formation enthalpy at 0 K	0.0977	eV per atom

***

Record 13
Computed, not measured: crystalline SrCu at its relaxed geometry at the PBE level of DFT.

Geometry as CIF:
```
data_SrCu
_space_group_name_H-M_alt 'P 1'
_space_group_IT_number 1
_cell_length_a 6.512
_cell_length_b 6.512
_cell_length_c 6.512
_cell_angle_alpha 140.15
_cell_angle_beta 140.15
_cell_angle_gamma 57.63
loop_
_space_group_symop_operation_xyz
'x,y,z'
loop_
_atom_site_label
_atom_site_type_symbol
_atom_site_fract_x
_atom_site_fract_y
_atom_site_fract_z
Sr1 Sr 0.375 0.625 0.750
Sr2 Sr 0.625 0.375 0.250
Cu1 Cu 0.125 0.875 0.250
Cu2 Cu 0.875 0.125 0.750
```

Calculated values
E	-5.4	eV per formula unit
magnetic moment	0.00	μB per cell
SG	I4_1/amd
formation enthalpy at 0 K	0.2002	eV per atom